Here is a geometry-optimized NaTb6S8 structure from Alexandria. Energies are from PBE-GGA.

a = 7.834 Å, b = 7.834 Å, c = 7.834 Å
α = 60.00°, β = 60.00°, γ = 60.00°
Atoms (fractional coordinates):
Tb: 0.000 0.000 0.500
Tb: 0.500 0.000 0.500
Tb: 0.500 0.000 0.000
Tb: 0.000 0.500 0.500
Tb: 0.000 0.500 0.000
Tb: 0.500 0.500 0.000
S: 0.748 0.252 0.252
S: 0.252 0.748 0.748
S: 0.748 0.252 0.748
S: 0.250 0.250 0.250
S: 0.748 0.748 0.252
S: 0.252 0.748 0.252
S: 0.750 0.750 0.750
S: 0.252 0.252 0.748
Na: 0.000 0.000 0.000

Calculated values
Space-group type = Fm-3m
Energy relative to the lowest polymorph listed for this composition = 0 meV/atom
Formation energy (no corrections) = -1986 meV/atom

---

Here is a geometry-optimized RbPrHgS3 structure from Alexandria. Energies are from PBE-GGA.

a = 4.269 Å, b = 9.039 Å, c = 10.125 Å
α = 106.44°, β = 90.00°, γ = 90.00°
Atoms (fractional coordinates):
S: 0.750 0.887 0.133
S: 0.750 0.461 0.146
S: 0.250 0.784 0.463
S: 0.750 0.216 0.537
S: 0.250 0.539 0.854
S: 0.250 0.113 0.867
Pr: 0.750 0.331 0.860
Pr: 0.250 0.669 0.140
Hg: 0.250 0.097 0.615
Hg: 0.750 0.903 0.385
Rb: 0.750 0.791 0.766
Rb: 0.250 0.209 0.234

Calculated values
Space-group type = P2_1/m
Formation energy (no corrections) = -1214 meV/atom

---

Here is a geometry-optimized Sc2Cd3Hg structure from Alexandria. Energies are from PBE-GGA.

a = 3.225 Å, b = 4.861 Å, c = 8.416 Å
α = 90.00°, β = 90.00°, γ = 90.00°
Atoms (fractional coordinates):
Sc: 0.000 0.000 0.495
Sc: 0.000 0.500 0.005
Cd: 0.500 0.000 0.163
Cd: 0.500 0.000 0.831
Cd: 0.500 0.500 0.670
Hg: 0.500 0.500 0.335

Calculated values
Space-group type = Pmm2
Energy relative to the lowest polymorph listed for this composition = 3 meV/atom
ΔE_f = -0.251 eV/atom

---

Here is a geometry-optimized HfCdRh structure from Alexandria. Energies are from PBE-GGA.

a = 4.620 Å, b = 4.620 Å, c = 6.079 Å
α = 90.00°, β = 90.00°, γ = 120.00°
Atoms (fractional coordinates):
Cd: 0.667 0.333 0.479
Cd: 0.333 0.667 0.658
Rh: 0.667 0.333 0.991
Rh: 0.000 0.000 0.273
Hf: 0.333 0.667 0.171
Hf: 0.000 0.000 0.854

Calculated values
Space-group type = P3m1
ΔE_f = -0.440 eV/atom

---

Here is a geometry-optimized LaNd6Tm6 structure from Alexandria. Energies are from PBE-GGA.

a = 6.734 Å, b = 6.734 Å, c = 11.461 Å
α = 90.00°, β = 90.00°, γ = 120.00°
Atoms (fractional coordinates):
Tm: 0.500 0.000 0.753
Tm: 0.000 0.500 0.753
Tm: 0.000 0.500 0.247
Tm: 0.500 0.500 0.753
Tm: 0.500 0.500 0.247
Tm: 0.500 0.000 0.247
Nd: 0.333 0.667 0.500
Nd: 0.667 0.333 0.000
Nd: 0.333 0.667 0.000
Nd: 0.000 0.000 0.653
Nd: 0.667 0.333 0.500
Nd: 0.000 0.000 0.347
La: 0.000 0.000 0.000

Calculated values
Space-group type = P6/mmm
ΔE_f = 0.238 eV/atom

---

Here is a geometry-optimized BeCdPt2 structure from Alexandria. Energies are from PBE-GGA.

a = 8.975 Å, b = 8.975 Å, c = 8.975 Å
α = 18.05°, β = 18.05°, γ = 18.04°
Atoms (fractional coordinates):
Pt: 0.518 0.518 0.518
Pt: 0.982 0.982 0.982
Be: 0.250 0.250 0.250
Cd: 0.750 0.750 0.750

Calculated values
Space-group type = R-3m
Energy relative to the lowest polymorph listed for this composition = 167 meV/atom
ΔE_f = -0.394 eV/atom